[1]
This record from the Alexandria database describes a PBEsol-optimized structure of CoRe2. The functional is meta-GGA SCAN.

Computed properties:
- Offset from the most stable computed form: 0 meV per atom
- Crystal system: tetragonal

Unit cell a=5.815 b=5.815 c=4.624 alpha=90.00 beta=90.00 gamma=90.00
Space group I4/mcm (No. 140)
Inequivalent atoms, fractional coordinates:
Co 0.000 0.000 0.250 (multiplicity 4)
Re 0.152 0.348 0.000 (multiplicity 8)

[2]
This record from the Alexandria database describes a PBEsol-optimized structure of CoRe2. The functional is meta-GGA SCAN.

Computed properties:
- Offset from the most stable computed form: 158 meV per atom
- Crystal system: trigonal

Unit cell a=2.6752 b=2.6752 c=6.4419 alpha=90.00 beta=90.00 gamma=120.00
Space group P-3m1 (No. 164)
Inequivalent atoms, fractional coordinates:
Co 0.0000 0.0000 0.0000 (multiplicity 1)
Re 0.3333 0.6667 0.3219 (multiplicity 2)